Na2Tl2Cd | PBE | optimized geometry

As for the total DFT energy (no corrections): -15.88 eV for the cell shown. The offset from the most stable computed form is 0.76 eV/f.u. For the total magnetization, the calculation gives 0.00 μB/atom. The calculation puts the formation enthalpy at 0 K at 0.069 eV per atom. Its crystal system is tetragonal.

Cell: 4.327 4.327 15.787 Å, 90.00 90.00 90.00°
Space group I4/mmm (No. 139)
Inequivalent atoms, fractional coordinates:
Na  0.000  0.500  0.250 (multiplicity 4)
Tl  0.000  0.000  0.096 (multiplicity 4)
Cd  0.000  0.000  0.500 (multiplicity 2)

---

Na5TlCd | PBE | optimized geometry

As for the total DFT energy (no corrections): -19.23 eV for the cell shown. The offset from the most stable computed form is 0.56 eV/f.u. For the total magnetization, the calculation gives 0.00 μB/atom. The calculation puts the formation enthalpy at 0 K at 0.037 eV per atom. Its crystal system is orthorhombic.

Cell: 6.147 6.327 11.529 Å, 90.00 90.00 90.00°
Space group Imm2 (No. 44)
Inequivalent atoms, fractional coordinates:
Na  0.000  0.000  0.000 (multiplicity 2)
Na  0.000  0.259  0.260 (multiplicity 4)
Na  0.248  0.500  0.990 (multiplicity 4)
Tl  0.000  0.500  0.678 (multiplicity 2)
Cd  0.000  0.000  0.734 (multiplicity 2)

---

Na12Tl2Cd | PBE | optimized geometry

As for the total DFT energy (no corrections): -40.85 eV for the cell shown. For the total magnetization, the calculation gives 0.00 μB/atom. The calculation puts the formation enthalpy at 0 K at 0.070 eV per atom. Its crystal system is tetragonal.

Cell: 6.697 6.697 24.187 Å, 90.00 90.00 90.00°
Space group P4/nbm (No. 125, origin choice 2)
Inequivalent atoms, fractional coordinates:
Na  0.000  0.000  0.089 (multiplicity 8)
Na  0.071  0.571  0.433 (multiplicity 8)
Na  0.250  0.250  0.194 (multiplicity 4)
Na  0.250  0.250  0.320 (multiplicity 4)
Tl  0.250  0.750  0.211 (multiplicity 4)
Cd  0.250  0.750  0.000 (multiplicity 2)

---

Na6TlCd2 | PBE | optimized geometry

As for the total DFT energy (no corrections): -50.15 eV for the cell shown. The offset from the most stable computed form is 0.00 eV/f.u. For the total magnetization, the calculation gives 0.00 μB/atom. The calculation puts the formation enthalpy at 0 K at -0.047 eV per atom. Its crystal system is monoclinic.

Cell: 15.682 11.665 5.844 Å, 90.00 100.53 90.00°
Space group C2/c (No. 15)
Inequivalent atoms, fractional coordinates:
Na  0.057  0.126  0.020 (multiplicity 8)
Na  0.110  0.373  0.312 (multiplicity 8)
Na  0.223  0.375  0.852 (multiplicity 8)
Tl  0.000  0.379  0.750 (multiplicity 4)
Cd  0.167  0.122  0.583 (multiplicity 8)

---

Na14TlCd | PBE | optimized geometry

As for the total DFT energy (no corrections): -44.00 eV for the cell shown. For the total magnetization, the calculation gives 0.00 μB/atom. The calculation puts the formation enthalpy at 0 K at -0.016 eV per atom. Its crystal system is orthorhombic.

Cell: 11.688 7.855 11.649 Å, 90.00 90.00 90.00°
Space group Amm2 (No. 38)
Inequivalent atoms, fractional coordinates:
Na  0.000  0.000  0.000 (multiplicity 2)
Na  0.000  0.000  0.498 (multiplicity 2)
Na  0.000  0.248  0.749 (multiplicity 4)
Na  0.253  0.000  0.242 (multiplicity 4)
Na  0.255  0.000  0.737 (multiplicity 4)
Na  0.271  0.248  0.984 (multiplicity 8)
Na  0.500  0.248  0.198 (multiplicity 4)
Tl  0.500  0.000  0.444 (multiplicity 2)
Cd  0.500  0.000  0.941 (multiplicity 2)

---

Na3TlCd3 | PBE | optimized geometry

As for the total DFT energy (no corrections): -56.71 eV for the cell shown. The offset from the most stable computed form is 0.21 eV/f.u. For the total magnetization, the calculation gives 0.00 μB/atom. The calculation puts the formation enthalpy at 0 K at -0.055 eV per atom. Its crystal system is trigonal.

Cell: 8.1217 8.1217 20.7299 Å, 90.00 90.00 120.00°
Space group R-3 (No. 148, hexagonal axes)
Inequivalent atoms, fractional coordinates:
Na  0.0466  0.4449  0.3840 (multiplicity 18)
Tl  0.0000  0.0000  0.1511 (multiplicity 6)
Cd  0.0238  0.2366  0.5584 (multiplicity 18)

---

Na6TlCd5 | PBE | optimized geometry

As for the total DFT energy (no corrections): -31.58 eV for the cell shown. For the total magnetization, the calculation gives 0.00 μB/atom. The calculation puts the formation enthalpy at 0 K at -0.078 eV per atom. Its crystal system is monoclinic.

Cell: 10.573 14.324 4.688 Å, 90.00 116.06 90.00°
Space group C2/m (No. 12)
Inequivalent atoms, fractional coordinates:
Na  0.247  0.000  0.247 (multiplicity 4)
Na  0.248  0.166  0.748 (multiplicity 8)
Tl  0.000  0.500  0.000 (multiplicity 2)
Cd  0.000  0.000  0.500 (multiplicity 2)
Cd  0.000  0.170  0.000 (multiplicity 4)
Cd  0.000  0.329  0.500 (multiplicity 4)

---

Na2Tl2Cd | PBE | optimized geometry

As for the total DFT energy (no corrections): -34.34 eV for the cell shown. The offset from the most stable computed form is 0.11 eV/f.u. For the total magnetization, the calculation gives 0.00 μB/atom. The calculation puts the formation enthalpy at 0 K at -0.060 eV per atom. Its crystal system is orthorhombic.

Cell: 6.362 15.138 5.966 Å, 90.00 90.00 90.00°
Space group Ibam (No. 72)
Inequivalent atoms, fractional coordinates:
Na  0.134  0.104  0.000 (multiplicity 8)
Tl  0.150  0.315  0.000 (multiplicity 8)
Cd  0.000  0.500  0.250 (multiplicity 4)

---

Na6Tl2Cd | PBE | optimized geometry

As for the total DFT energy (no corrections): -42.58 eV for the cell shown. The offset from the most stable computed form is 0.00 eV/f.u. For the total magnetization, the calculation gives 0.00 μB/atom. The calculation puts the formation enthalpy at 0 K at -0.070 eV per atom. Its crystal system is trigonal.

Cell: 5.5403 5.5403 31.8540 Å, 90.00 90.00 120.00°
Space group R-3m (No. 166, hexagonal axes)
Inequivalent atoms, fractional coordinates:
Na  0.0000  0.0000  0.0807 (multiplicity 6)
Na  0.0000  0.0000  0.1997 (multiplicity 6)
Na  0.0000  0.0000  0.3076 (multiplicity 6)
Tl  0.0000  0.0000  0.4086 (multiplicity 6)
Cd  0.0000  0.0000  0.5000 (multiplicity 3)

---

Na6TlCd | PBE | optimized geometry

As for the total DFT energy (no corrections): -11.61 eV for the cell shown. The offset from the most stable computed form is 0.00 eV/f.u. For the total magnetization, the calculation gives 0.00 μB/atom. The calculation puts the formation enthalpy at 0 K at -0.052 eV per atom. Its crystal system is tetragonal.

Cell: 5.066 5.066 9.441 Å, 90.00 90.00 90.00°
Space group P4/mmm (No. 123)
Inequivalent atoms, fractional coordinates:
Na  0.000  0.000  0.000 (multiplicity 1)
Na  0.000  0.000  0.500 (multiplicity 1)
Na  0.000  0.500  0.248 (multiplicity 4)
Tl  0.500  0.500  0.500 (multiplicity 1)
Cd  0.500  0.500  0.000 (multiplicity 1)

---

Na12TlCd6 | PBE | optimized geometry

As for the total DFT energy (no corrections): -71.48 eV for the cell shown. The offset from the most stable computed form is 0.98 eV/f.u. For the total magnetization, the calculation gives 0.00 μB/atom. The calculation puts the formation enthalpy at 0 K at -0.007 eV per atom. Its crystal system is trigonal.

Cell: 11.1958 11.1958 16.2564 Å, 90.00 90.00 120.00°
Space group R-3 (No. 148, hexagonal axes)
Inequivalent atoms, fractional coordinates:
Na  0.0583  0.8670  0.3846 (multiplicity 18)
Na  0.0699  0.2121  0.1570 (multiplicity 18)
Tl  0.0000  0.0000  0.0000 (multiplicity 3)
Cd  0.0179  0.4540  0.6341 (multiplicity 18)

---

Na5TlCd | PBE | optimized geometry

As for the total DFT energy (no corrections): -40.70 eV for the cell shown. The offset from the most stable computed form is 0.00 eV/f.u. For the total magnetization, the calculation gives 0.00 μB/atom. The calculation puts the formation enthalpy at 0 K at -0.043 eV per atom. Its crystal system is monoclinic.

Cell: 17.051 8.548 6.408 Å, 90.00 109.66 90.00°
Space group C2/c (No. 15)
Inequivalent atoms, fractional coordinates:
Na  0.000  0.155  0.250 (multiplicity 4)
Na  0.118  0.497  0.120 (multiplicity 8)
Na  0.178  0.106  0.949 (multiplicity 8)
Tl  0.250  0.250  0.500 (multiplicity 4)
Cd  0.000  0.250  0.750 (multiplicity 4)

---

Na3Tl8Cd2 | PBE | optimized geometry

As for the total DFT energy (no corrections): -50.51 eV for the cell shown. The offset from the most stable computed form is 0.00 eV/f.u. For the total magnetization, the calculation gives 0.00 μB/atom. The calculation puts the formation enthalpy at 0 K at -0.041 eV per atom. Its crystal system is monoclinic.

Cell: 12.601 11.154 5.902 Å, 90.00 113.65 90.00°
Space group C2/m (No. 12)
Inequivalent atoms, fractional coordinates:
Na  0.000  0.000  0.000 (multiplicity 2)
Na  0.000  0.251  0.500 (multiplicity 4)
Tl  0.070  0.500  0.295 (multiplicity 4)
Tl  0.151  0.000  0.582 (multiplicity 4)
Tl  0.171  0.244  0.172 (multiplicity 8)
Cd  0.202  0.500  0.860 (multiplicity 4)

---

Na3Tl3Cd2 | PBE | optimized geometry

As for the total DFT energy (no corrections): -13.64 eV for the cell shown. The offset from the most stable computed form is 0.00 eV/f.u. For the total magnetization, the calculation gives 0.00 μB/atom. The calculation puts the formation enthalpy at 0 K at -0.095 eV per atom. Its crystal system is triclinic.

Cell: 4.652 4.816 10.088 Å, 103.34 102.87 90.28°
Space group P-1 (No. 2)
Inequivalent atoms, fractional coordinates:
Na  0.000  0.000  0.000 (multiplicity 1)
Na  0.131  0.631  0.260 (multiplicity 2)
Tl  0.365  0.866  0.731 (multiplicity 2)
Tl  0.500  0.500  0.000 (multiplicity 1)
Cd  0.249  0.250  0.498 (multiplicity 2)

---

Na4TlCd6 | PBE | optimized geometry

As for the total DFT energy (no corrections): -27.05 eV for the cell shown. For the total magnetization, the calculation gives 0.00 μB/atom. The calculation puts the formation enthalpy at 0 K at -0.036 eV per atom. Its crystal system is tetragonal.

Cell: 6.477 6.477 14.971 Å, 90.00 90.00 90.00°
Space group I-42m (No. 121)
Inequivalent atoms, fractional coordinates:
Na  0.203  0.203  0.179 (multiplicity 8)
Tl  0.000  0.000  0.000 (multiplicity 2)
Cd  0.000  0.500  0.000 (multiplicity 4)
Cd  0.163  0.163  0.394 (multiplicity 8)

---

Na2Tl4Cd | PBE | optimized geometry

As for the total DFT energy (no corrections): -49.27 eV for the cell shown. The offset from the most stable computed form is 0.22 eV/f.u. For the total magnetization, the calculation gives 0.00 μB/atom. The calculation puts the formation enthalpy at 0 K at 0.100 eV per atom. Its crystal system is orthorhombic.

Cell: 6.253 10.423 15.537 Å, 90.00 90.00 90.00°
Space group Fmmm (No. 69)
Inequivalent atoms, fractional coordinates:
Na  0.000  0.000  0.104 (multiplicity 8)
Tl  0.000  0.000  0.306 (multiplicity 8)
Tl  0.250  0.250  0.000 (multiplicity 8)
Cd  0.000  0.000  0.500 (multiplicity 4)

---

Na5Tl2Cd2 | PBE | optimized geometry

As for the total DFT energy (no corrections): -27.86 eV for the cell shown. The offset from the most stable computed form is 0.00 eV/f.u. For the total magnetization, the calculation gives 0.00 μB/atom. The calculation puts the formation enthalpy at 0 K at -0.086 eV per atom. Its crystal system is monoclinic.

Cell: 11.290 5.326 8.905 Å, 90.00 104.76 90.00°
Space group C2/m (No. 12)
Inequivalent atoms, fractional coordinates:
Na  0.000  0.000  0.000 (multiplicity 2)
Na  0.081  0.500  0.249 (multiplicity 4)
Na  0.106  0.000  0.681 (multiplicity 4)
Tl  0.242  0.000  0.394 (multiplicity 4)
Cd  0.208  0.500  0.933 (multiplicity 4)

---

Na12Tl6Cd | PBE | optimized geometry

As for the total DFT energy (no corrections): -97.70 eV for the cell shown. For the total magnetization, the calculation gives 0.00 μB/atom. The calculation puts the formation enthalpy at 0 K at -0.085 eV per atom. Its crystal system is trigonal.

Cell: 11.6355 11.6355 14.6412 Å, 90.00 90.00 120.00°
Space group R-3 (No. 148, hexagonal axes)
Inequivalent atoms, fractional coordinates:
Na  0.0391  0.8484  0.3162 (multiplicity 18)
Na  0.0598  0.2208  0.9123 (multiplicity 18)
Tl  0.0342  0.5941  0.2099 (multiplicity 18)
Cd  0.0000  0.0000  0.5000 (multiplicity 3)

---

NaTl3Cd2 | PBE | optimized geometry

As for the total DFT energy (no corrections): -20.79 eV for the cell shown. The offset from the most stable computed form is 0.00 eV/f.u. For the total magnetization, the calculation gives 0.00 μB/atom. The calculation puts the formation enthalpy at 0 K at -0.024 eV per atom. Its crystal system is orthorhombic.

Cell: 5.750 10.221 5.647 Å, 90.00 90.00 90.00°
Space group Pmmn (No. 59, origin choice 2)
Inequivalent atoms, fractional coordinates:
Na  0.250  0.250  0.099 (multiplicity 2)
Tl  0.250  0.081  0.601 (multiplicity 4)
Tl  0.250  0.750  0.562 (multiplicity 2)
Cd  0.250  0.586  0.075 (multiplicity 4)

---

Na3Tl3Cd | PBE | optimized geometry

As for the total DFT energy (no corrections): -49.61 eV for the cell shown. The offset from the most stable computed form is 0.00 eV/f.u. For the total magnetization, the calculation gives 0.00 μB/atom. The calculation puts the formation enthalpy at 0 K at -0.062 eV per atom. Its crystal system is monoclinic.

Cell: 7.712 10.653 10.105 Å, 90.00 91.52 90.00°
Space group C2/m (No. 12)
Inequivalent atoms, fractional coordinates:
Na  0.000  0.167  0.000 (multiplicity 4)
Na  0.000  0.232  0.500 (multiplicity 4)
Na  0.075  0.500  0.819 (multiplicity 4)
Tl  0.032  0.000  0.288 (multiplicity 4)
Tl  0.228  0.286  0.238 (multiplicity 8)
Cd  0.190  0.500  0.471 (multiplicity 4)